# 1
PBE NdTmTe2, relaxed; offset from the most stable computed form = 39.6 meV/atom; space group = No. 129; energy relative to the elements, uncorrected = -1.30 eV/atom; calculated total energy = -20.720 eV per formula unit; N(E_F) = 4.25 states/eV per cell
1.0
4.319 0.000 0.000
0.000 4.319 0.000
0.000 0.000 12.871
Nd Tm Te
2 2 4
direct
0.250 0.250 0.095 Nd
0.750 0.750 0.905 Nd
0.250 0.250 0.599 Tm
0.750 0.750 0.401 Tm
0.250 0.250 0.363 Te
0.250 0.250 0.845 Te
0.750 0.750 0.155 Te
0.750 0.750 0.637 Te

---

# 2
PBE Nd2Tm2Te5, relaxed; space group = No. 12; energy relative to the elements, uncorrected = -1.20 eV/atom; calculated total energy = -44.944 eV per formula unit; N(E_F) = 4.98 states/eV per cell
1.0
8.278 -2.945 0.000
8.278 2.945 0.000
-2.095 0.000 5.870
Nd Tm Te
2 2 5
direct
0.099 0.099 0.320 Nd
0.901 0.901 0.680 Nd
0.328 0.328 0.036 Tm
0.672 0.672 0.964 Tm
0.129 0.129 0.850 Te
0.311 0.311 0.515 Te
0.500 0.500 0.000 Te
0.689 0.689 0.485 Te
0.871 0.871 0.150 Te

---

# 3
PBE Nd6TmTe8, relaxed; space group = No. 225; energy relative to the elements, uncorrected = -1.44 eV/atom; calculated total energy = -79.761 eV per formula unit; N(E_F) = 7.19 states/eV per cell
1.0
0.000 6.331 6.331
6.331 0.000 6.331
6.331 6.331 0.000
Nd Tm Te
6 1 8
direct
0.000 0.000 0.500 Nd
0.000 0.500 0.000 Nd
0.000 0.500 0.500 Nd
0.500 0.000 0.000 Nd
0.500 0.000 0.500 Nd
0.500 0.500 0.000 Nd
0.000 0.000 0.000 Tm
0.247 0.247 0.753 Te
0.247 0.753 0.247 Te
0.247 0.753 0.753 Te
0.250 0.250 0.250 Te
0.750 0.750 0.750 Te
0.753 0.247 0.247 Te
0.753 0.247 0.753 Te
0.753 0.753 0.247 Te

---

# 4
PBE NdTm2Te5, relaxed; space group = No. 140; energy relative to the elements, uncorrected = -1.18 eV/atom; calculated total energy = -38.823 eV per formula unit; N(E_F) = 10.78 states/eV per cell
1.0
-4.060 4.060 7.138
4.060 -4.060 7.138
4.060 4.060 -7.138
Nd Tm Te
2 4 10
direct
0.250 0.250 0.000 Nd
0.750 0.750 0.000 Nd
0.151 0.651 0.801 Tm
0.349 0.151 0.500 Tm
0.651 0.849 0.500 Tm
0.849 0.349 0.199 Tm
0.000 0.000 0.000 Te
0.012 0.196 0.500 Te
0.196 0.696 0.184 Te
0.304 0.488 0.500 Te
0.488 0.988 0.184 Te
0.500 0.500 0.000 Te
0.512 0.012 0.816 Te
0.696 0.512 0.500 Te
0.804 0.304 0.816 Te
0.988 0.804 0.500 Te

---

# 5
PBE NdTmTe3, relaxed; offset from the most stable computed form = 14.1 meV/atom; space group = No. 62; energy relative to the elements, uncorrected = -1.39 eV/atom; calculated total energy = -25.603 eV per formula unit; N(E_F) = 1.07 states/eV per cell
1.0
8.261 0.000 0.000
0.000 4.390 0.000
0.000 0.000 17.358
Nd Tm Te
4 4 12
direct
0.136 0.250 0.200 Nd
0.364 0.750 0.700 Nd
0.636 0.250 0.300 Nd
0.864 0.750 0.800 Nd
0.227 0.750 0.459 Tm
0.273 0.250 0.959 Tm
0.727 0.750 0.041 Tm
0.773 0.250 0.541 Tm
0.006 0.250 0.395 Te
0.118 0.750 0.062 Te
0.157 0.250 0.787 Te
0.343 0.750 0.287 Te
0.382 0.250 0.562 Te
0.494 0.750 0.895 Te
0.506 0.250 0.105 Te
0.618 0.750 0.438 Te
0.657 0.250 0.713 Te
0.843 0.750 0.213 Te
0.882 0.250 0.938 Te
0.994 0.750 0.605 Te

---

# 6
PBE Nd3TmTe4, relaxed; space group = No. 65; energy relative to the elements, uncorrected = -1.36 eV/atom; calculated total energy = -42.198 eV per formula unit; N(E_F) = 4.87 states/eV per cell
1.0
4.526 -6.299 0.000
4.526 6.299 0.000
0.000 0.000 4.376
Nd Tm Te
3 1 4
direct
0.000 0.000 0.000 Nd
0.000 0.500 0.500 Nd
0.500 0.000 0.500 Nd
0.500 0.500 0.000 Tm
0.256 0.744 0.000 Te
0.262 0.262 0.500 Te
0.738 0.738 0.500 Te
0.744 0.256 0.000 Te

---

# 7
PBE Nd4TmTe5, relaxed; space group = No. 139; energy relative to the elements, uncorrected = -1.37 eV/atom; calculated total energy = -52.994 eV per formula unit; N(E_F) = 5.00 states/eV per cell
1.0
-2.206 2.206 16.163
2.206 -2.206 16.163
2.206 2.206 -16.163
Nd Tm Te
4 1 5
direct
0.107 0.107 0.000 Nd
0.311 0.311 0.000 Nd
0.689 0.689 0.000 Nd
0.893 0.893 0.000 Nd
0.500 0.500 0.000 Tm
0.000 0.000 0.000 Te
0.207 0.207 0.000 Te
0.408 0.408 0.000 Te
0.592 0.592 0.000 Te
0.793 0.793 0.000 Te

---

# 8
PBE Nd4Tm3Te8, relaxed; space group = No. 12; energy relative to the elements, uncorrected = -1.37 eV/atom; calculated total energy = -78.108 eV per formula unit; N(E_F) = 6.82 states/eV per cell
1.0
6.206 -6.212 0.000
6.206 6.212 0.000
-6.191 0.000 6.217
Nd Tm Te
4 3 8
direct
0.000 0.000 0.000 Nd
0.000 0.000 0.500 Nd
0.000 0.500 0.000 Nd
0.500 0.000 0.000 Nd
0.000 0.500 0.500 Tm
0.500 0.000 0.500 Tm
0.500 0.500 0.000 Tm
0.255 0.745 0.000 Te
0.260 0.740 0.500 Te
0.265 0.265 0.019 Te
0.265 0.265 0.510 Te
0.735 0.735 0.490 Te
0.735 0.735 0.981 Te
0.740 0.260 0.500 Te
0.745 0.255 0.000 Te

---

# 9
PBE NdTmTe3, relaxed; offset from the most stable computed form = 0.0 meV/atom; space group = No. 63; energy relative to the elements, uncorrected = -1.40 eV/atom; calculated total energy = -25.674 eV per formula unit; N(E_F) = 0.25 states/eV per cell
1.0
2.150 -7.088 0.000
2.150 7.088 0.000
0.000 0.000 10.758
Nd Tm Te
2 2 6
direct
0.249 0.751 0.750 Nd
0.751 0.249 0.250 Nd
0.000 0.000 0.000 Tm
0.000 0.000 0.500 Tm
0.088 0.912 0.250 Te
0.354 0.646 0.061 Te
0.354 0.646 0.439 Te
0.646 0.354 0.561 Te
0.646 0.354 0.939 Te
0.912 0.088 0.750 Te

---

# 10
PBE NdTmTe2, relaxed; offset from the most stable computed form = 0.0 meV/atom; space group = No. 160; energy relative to the elements, uncorrected = -1.34 eV/atom; calculated total energy = -20.878 eV per formula unit; N(E_F) = 1.31 states/eV per cell
1.0
2.138 1.235 7.640
-2.138 1.235 7.640
0.000 -2.469 7.640
Nd Tm Te
1 1 2
direct
0.000 0.000 0.000 Nd
0.174 0.174 0.174 Tm
0.581 0.581 0.581 Te
0.759 0.759 0.759 Te

---

# 11
PBE Nd2TmTe4, relaxed; offset from the most stable computed form = 93.6 meV/atom; space group = No. 63; energy relative to the elements, uncorrected = -1.34 eV/atom; calculated total energy = -35.951 eV per formula unit; N(E_F) = 5.39 states/eV per cell
1.0
2.131 -7.381 0.000
2.131 7.381 0.000
0.000 0.000 15.267
Nd Tm Te
4 2 8
direct
0.132 0.868 0.571 Nd
0.132 0.868 0.929 Nd
0.868 0.132 0.071 Nd
0.868 0.132 0.429 Nd
0.371 0.629 0.750 Tm
0.629 0.371 0.250 Tm
0.021 0.979 0.750 Te
0.216 0.784 0.126 Te
0.216 0.784 0.374 Te
0.500 0.500 0.000 Te
0.500 0.500 0.500 Te
0.784 0.216 0.626 Te
0.784 0.216 0.874 Te
0.979 0.021 0.250 Te

---

# 12
PBE Nd2TmTe3, relaxed; offset from the most stable computed form = 0.0 meV/atom; space group = No. 70; energy relative to the elements, uncorrected = -1.34 eV/atom; calculated total energy = -31.498 eV per formula unit; N(E_F) = 12.76 states/eV per cell
1.0
0.000 6.260 13.111
4.508 0.000 13.111
4.508 6.260 0.000
Nd Tm Te
8 4 12
direct
0.047 0.047 0.203 Nd
0.123 0.123 0.627 Nd
0.203 0.203 0.047 Nd
0.373 0.373 0.877 Nd
0.627 0.627 0.123 Nd
0.797 0.797 0.953 Nd
0.877 0.877 0.373 Nd
0.953 0.953 0.797 Nd
0.293 0.293 0.457 Tm
0.457 0.457 0.293 Tm
0.543 0.543 0.707 Tm
0.707 0.707 0.543 Tm
0.038 0.539 0.223 Te
0.141 0.609 0.609 Te
0.223 0.700 0.038 Te
0.300 0.777 0.461 Te
0.391 0.859 0.859 Te
0.461 0.962 0.300 Te
0.539 0.038 0.700 Te
0.609 0.141 0.141 Te
0.700 0.223 0.539 Te
0.777 0.300 0.962 Te
0.859 0.391 0.391 Te
0.962 0.461 0.777 Te

---

Asked for ρ across the records above, the calculation gives 7.86, 7.34, 6.73, 7.90, 7.34, 7.40, 7.30, 7.29, 7.05, 7.80, 6.69, 7.54 g cm⁻³ in order.